(1)
# Pa2SiTc, relaxed, DFT PBE
data_Pa2SiTc
_cell_length_a 4.528
_cell_length_b 4.528
_cell_length_c 14.300
_cell_angle_alpha 90.00
_cell_angle_beta 90.00
_cell_angle_gamma 120.00
_symmetry_space_group_name_H-M 'P 1'
_symmetry_Int_Tables_number 1
loop_
_symmetry_equiv_pos_as_xyz
'x,y,z'
loop_
_atom_site_label
_atom_site_fract_x
_atom_site_fract_y
_atom_site_fract_z
Pa1 0.000 0.000 0.246
Pa2 0.000 0.000 0.754
Pa3 0.333 0.667 0.421
Pa4 0.333 0.667 0.912
Pa5 0.667 0.333 0.088
Pa6 0.667 0.333 0.579
Si1 0.000 0.000 0.000
Si2 0.333 0.667 0.667
Si3 0.667 0.333 0.333
Tc1 0.000 0.000 0.500
Tc2 0.333 0.667 0.167
Tc3 0.667 0.333 0.833
# Excess energy over the best structure of this formula in the dataset: 0.274 eV per atom
# Total DFT energy (no corrections): -8.8475 eV/atom
# Crystal system: trigonal

(2)
# PaSi3Tc, relaxed, DFT PBE
data_PaSi3Tc
_cell_length_a 6.340
_cell_length_b 6.340
_cell_length_c 6.340
_cell_angle_alpha 130.49
_cell_angle_beta 99.68
_cell_angle_gamma 100.52
_symmetry_space_group_name_H-M 'P 1'
_symmetry_Int_Tables_number 1
loop_
_symmetry_equiv_pos_as_xyz
'x,y,z'
loop_
_atom_site_label
_atom_site_fract_x
_atom_site_fract_y
_atom_site_fract_z
Pa1 0.281 0.031 0.250
Pa2 0.719 0.969 0.750
Si1 0.082 0.332 0.750
Si2 0.254 0.000 0.754
Si3 0.254 0.500 0.254
Si4 0.746 0.000 0.246
Si5 0.746 0.500 0.746
Si6 0.918 0.668 0.250
Tc1 0.000 0.500 0.500
Tc2 0.500 0.500 0.000
# Excess energy over the best structure of this formula in the dataset: 0.083 eV per atom
# Total DFT energy (no corrections): -7.5339 eV/atom
# Crystal system: orthorhombic

(3)
# PaSi2Tc4, relaxed, DFT PBE
data_PaSi2Tc4
_cell_length_a 4.111
_cell_length_b 13.698
_cell_length_c 4.035
_cell_angle_alpha 90.00
_cell_angle_beta 90.00
_cell_angle_gamma 90.00
_symmetry_space_group_name_H-M 'P 1'
_symmetry_Int_Tables_number 1
loop_
_symmetry_equiv_pos_as_xyz
'x,y,z'
loop_
_atom_site_label
_atom_site_fract_x
_atom_site_fract_y
_atom_site_fract_z
Pa1 0.000 0.000 0.000
Pa2 0.500 0.500 0.000
Si1 0.000 0.413 0.500
Si2 0.000 0.587 0.500
Si3 0.500 0.087 0.500
Si4 0.500 0.913 0.500
Tc1 0.000 0.184 0.500
Tc2 0.000 0.308 0.000
Tc3 0.000 0.692 0.000
Tc4 0.000 0.816 0.500
Tc5 0.500 0.192 0.000
Tc6 0.500 0.316 0.500
Tc7 0.500 0.684 0.500
Tc8 0.500 0.808 0.000
# Total DFT energy (no corrections): -9.3657 eV/atom
# Crystal system: orthorhombic

(4)
# PaSi3Tc, relaxed, DFT PBE
data_PaSi3Tc
_cell_length_a 5.853
_cell_length_b 5.516
_cell_length_c 5.594
_cell_angle_alpha 90.00
_cell_angle_beta 90.00
_cell_angle_gamma 90.00
_symmetry_space_group_name_H-M 'P 1'
_symmetry_Int_Tables_number 1
loop_
_symmetry_equiv_pos_as_xyz
'x,y,z'
loop_
_atom_site_label
_atom_site_fract_x
_atom_site_fract_y
_atom_site_fract_z
Pa1 0.000 0.169 0.000
Pa2 0.500 0.831 0.500
Si1 0.000 0.917 0.555
Si2 0.226 0.298 0.473
Si3 0.274 0.702 0.973
Si4 0.500 0.083 0.055
Si5 0.726 0.702 0.973
Si6 0.774 0.298 0.473
Tc1 0.000 0.606 0.270
Tc2 0.500 0.394 0.770
# Excess energy over the best structure of this formula in the dataset: 0.000 eV per atom
# Total DFT energy (no corrections): -7.6167 eV/atom
# Crystal system: orthorhombic

(5)
# Pa2Si3Tc5, relaxed, DFT PBE
data_Pa2Si3Tc5
_cell_length_a 12.725
_cell_length_b 12.725
_cell_length_c 6.213
_cell_angle_alpha 90.00
_cell_angle_beta 90.00
_cell_angle_gamma 160.88
_symmetry_space_group_name_H-M 'P 1'
_symmetry_Int_Tables_number 1
loop_
_symmetry_equiv_pos_as_xyz
'x,y,z'
loop_
_atom_site_label
_atom_site_fract_x
_atom_site_fract_y
_atom_site_fract_z
Pa1 0.010 0.990 0.500
Pa2 0.321 0.679 0.517
Pa3 0.679 0.321 0.017
Pa4 0.990 0.010 0.000
Si1 0.111 0.889 0.266
Si2 0.275 0.725 0.020
Si3 0.444 0.556 0.279
Si4 0.556 0.444 0.779
Si5 0.725 0.275 0.520
Si6 0.889 0.111 0.766
Tc1 0.102 0.898 0.857
Tc2 0.204 0.796 0.739
Tc3 0.207 0.793 0.309
Tc4 0.372 0.628 0.999
Tc5 0.445 0.555 0.690
Tc6 0.555 0.445 0.190
Tc7 0.628 0.372 0.499
Tc8 0.793 0.207 0.809
Tc9 0.796 0.204 0.239
Tc10 0.898 0.102 0.357
# Total DFT energy (no corrections): -9.1573 eV/atom
# Crystal system: orthorhombic

(6)
# Pa4SiTc, relaxed, DFT PBE
data_Pa4SiTc
_cell_length_a 6.823
_cell_length_b 6.823
_cell_length_c 5.724
_cell_angle_alpha 90.00
_cell_angle_beta 90.00
_cell_angle_gamma 90.00
_symmetry_space_group_name_H-M 'P 1'
_symmetry_Int_Tables_number 1
loop_
_symmetry_equiv_pos_as_xyz
'x,y,z'
loop_
_atom_site_label
_atom_site_fract_x
_atom_site_fract_y
_atom_site_fract_z
Pa1 0.145 0.344 0.000
Pa2 0.145 0.656 0.500
Pa3 0.344 0.145 0.500
Pa4 0.344 0.855 0.000
Pa5 0.656 0.145 0.000
Pa6 0.656 0.855 0.500
Pa7 0.855 0.344 0.500
Pa8 0.855 0.656 0.000
Si1 0.500 0.500 0.250
Si2 0.500 0.500 0.750
Tc1 0.000 0.000 0.250
Tc2 0.000 0.000 0.750
# Excess energy over the best structure of this formula in the dataset: 0.000 eV per atom
# Total DFT energy (no corrections): -9.2358 eV/atom
# Crystal system: tetragonal

(7)
# Pa2Si4Tc3, relaxed, DFT PBE
data_Pa2Si4Tc3
_cell_length_a 7.775
_cell_length_b 6.567
_cell_length_c 5.570
_cell_angle_alpha 79.20
_cell_angle_beta 56.07
_cell_angle_gamma 44.73
_symmetry_space_group_name_H-M 'P 1'
_symmetry_Int_Tables_number 1
loop_
_symmetry_equiv_pos_as_xyz
'x,y,z'
loop_
_atom_site_label
_atom_site_fract_x
_atom_site_fract_y
_atom_site_fract_z
Pa1 0.132 0.132 0.868
Pa2 0.868 0.868 0.132
Si1 0.159 0.508 0.492
Si2 0.492 0.841 0.159
Si3 0.508 0.159 0.841
Si4 0.841 0.492 0.508
Tc1 0.000 0.000 0.500
Tc2 0.500 0.500 0.000
Tc3 0.500 0.500 0.500
# Excess energy over the best structure of this formula in the dataset: 0.194 eV per atom
# Total DFT energy (no corrections): -8.3872 eV/atom
# Crystal system: orthorhombic

(8)
# ThPaSi2Tc, relaxed, DFT PBE
data_ThPaSi2Tc
_cell_length_a 4.093
_cell_length_b 4.093
_cell_length_c 12.507
_cell_angle_alpha 90.00
_cell_angle_beta 90.00
_cell_angle_gamma 90.00
_symmetry_space_group_name_H-M 'P 1'
_symmetry_Int_Tables_number 1
loop_
_symmetry_equiv_pos_as_xyz
'x,y,z'
loop_
_atom_site_label
_atom_site_fract_x
_atom_site_fract_y
_atom_site_fract_z
Th1 0.000 0.000 0.000
Th2 0.500 0.500 0.500
Pa1 0.000 0.500 0.750
Pa2 0.500 0.000 0.250
Si1 0.000 0.000 0.405
Si2 0.000 0.000 0.595
Si3 0.500 0.500 0.095
Si4 0.500 0.500 0.905
Tc1 0.000 0.500 0.250
Tc2 0.500 0.000 0.750
# Total DFT energy (no corrections): -8.1157 eV/atom
# Crystal system: tetragonal

(9)
# PaTiSiTc, relaxed, DFT PBE
data_PaTiSiTc
_cell_length_a 6.463
_cell_length_b 6.463
_cell_length_c 6.463
_cell_angle_alpha 90.00
_cell_angle_beta 90.00
_cell_angle_gamma 90.00
_symmetry_space_group_name_H-M 'P 1'
_symmetry_Int_Tables_number 1
loop_
_symmetry_equiv_pos_as_xyz
'x,y,z'
loop_
_atom_site_label
_atom_site_fract_x
_atom_site_fract_y
_atom_site_fract_z
Pa1 0.000 0.000 0.000
Pa2 0.000 0.500 0.500
Pa3 0.500 0.000 0.500
Pa4 0.500 0.500 0.000
Ti1 0.250 0.250 0.250
Ti2 0.250 0.750 0.750
Ti3 0.750 0.250 0.750
Ti4 0.750 0.750 0.250
Si1 0.000 0.000 0.500
Si2 0.000 0.500 0.000
Si3 0.500 0.000 0.000
Si4 0.500 0.500 0.500
Tc1 0.250 0.250 0.750
Tc2 0.250 0.750 0.250
Tc3 0.750 0.250 0.250
Tc4 0.750 0.750 0.750
# Total DFT energy (no corrections): -8.6395 eV/atom
# Crystal system: cubic

(10)
# UPaSiTc, relaxed, DFT PBE
data_UPaSiTc
_cell_length_a 6.689
_cell_length_b 6.689
_cell_length_c 6.689
_cell_angle_alpha 90.00
_cell_angle_beta 90.00
_cell_angle_gamma 90.00
_symmetry_space_group_name_H-M 'P 1'
_symmetry_Int_Tables_number 1
loop_
_symmetry_equiv_pos_as_xyz
'x,y,z'
loop_
_atom_site_label
_atom_site_fract_x
_atom_site_fract_y
_atom_site_fract_z
U1 0.000 0.000 0.000
U2 0.000 0.500 0.500
U3 0.500 0.000 0.500
U4 0.500 0.500 0.000
Pa1 0.250 0.250 0.750
Pa2 0.250 0.750 0.250
Pa3 0.750 0.250 0.250
Pa4 0.750 0.750 0.750
Si1 0.250 0.250 0.250
Si2 0.250 0.750 0.750
Si3 0.750 0.250 0.750
Si4 0.750 0.750 0.250
Tc1 0.000 0.000 0.500
Tc2 0.000 0.500 0.000
Tc3 0.500 0.000 0.000
Tc4 0.500 0.500 0.500
# Total DFT energy (no corrections): -9.1549 eV/atom
# Crystal system: cubic

(11)
# PaVSiTc, relaxed, DFT PBE
data_PaVSiTc
_cell_length_a 6.401
_cell_length_b 6.401
_cell_length_c 6.401
_cell_angle_alpha 90.00
_cell_angle_beta 90.00
_cell_angle_gamma 90.00
_symmetry_space_group_name_H-M 'P 1'
_symmetry_Int_Tables_number 1
loop_
_symmetry_equiv_pos_as_xyz
'x,y,z'
loop_
_atom_site_label
_atom_site_fract_x
_atom_site_fract_y
_atom_site_fract_z
Pa1 0.000 0.000 0.000
Pa2 0.000 0.500 0.500
Pa3 0.500 0.000 0.500
Pa4 0.500 0.500 0.000
V1 0.250 0.250 0.750
V2 0.250 0.750 0.250
V3 0.750 0.250 0.250
V4 0.750 0.750 0.750
Si1 0.000 0.000 0.500
Si2 0.000 0.500 0.000
Si3 0.500 0.000 0.000
Si4 0.500 0.500 0.500
Tc1 0.250 0.250 0.250
Tc2 0.250 0.750 0.750
Tc3 0.750 0.250 0.750
Tc4 0.750 0.750 0.250
# Total DFT energy (no corrections): -8.8361 eV/atom
# Crystal system: cubic

(12)
# Pa2Zn2Si4Tc, relaxed, DFT PBE
data_Pa2Zn2Si4Tc
_cell_length_a 6.040
_cell_length_b 6.040
_cell_length_c 6.040
_cell_angle_alpha 120.34
_cell_angle_beta 120.34
_cell_angle_gamma 89.41
_symmetry_space_group_name_H-M 'P 1'
_symmetry_Int_Tables_number 1
loop_
_symmetry_equiv_pos_as_xyz
'x,y,z'
loop_
_atom_site_label
_atom_site_fract_x
_atom_site_fract_y
_atom_site_fract_z
Pa1 0.250 0.750 0.500
Pa2 0.750 0.250 0.500
Zn1 0.206 0.206 0.000
Zn2 0.794 0.794 0.000
Si1 0.216 0.216 0.432
Si2 0.216 0.784 0.000
Si3 0.784 0.216 0.000
Si4 0.784 0.784 0.568
Tc1 0.500 0.500 0.000
# Total DFT energy (no corrections): -6.3510 eV/atom
# Crystal system: tetragonal

no.,E_form (uncorrected) (eV per atom)
1,-0.152
2,-0.308
3,-0.536
4,-0.391
5,-0.448
6,-0.274
7,-0.411
8,-0.490
9,-0.345
10,-0.012
11,-0.235
12,-0.396